No. 1
First-principles (GGA-PBE) data for an optimized crystal structure of TaMnSe4, as listed in Alexandria.

a = 7.6469 Å, b = 7.6469 Å, c = 6.3173 Å
α = 108.74°, β = 108.74°, γ = 59.00°
Atoms (fractional coordinates):
Ta 0.1872 0.8128 0.7500
Ta 0.8128 0.1872 0.2500
Mn 0.0000 0.5000 0.0000
Mn 0.5000 0.0000 0.5000
Se 0.0154 0.7901 0.3261
Se 0.2099 0.9846 0.1739
Se 0.2448 0.4766 0.7839
Se 0.4766 0.2448 0.2839
Se 0.5234 0.7552 0.7161
Se 0.7552 0.5234 0.2161
Se 0.7901 0.0154 0.8261
Se 0.9846 0.2099 0.6739

E_form (uncorrected) (kJ/mol of atoms): -35
Space group: No. 15



No. 2
First-principles (GGA-PBE) data for an optimized crystal structure of NbCoB3, as listed in Alexandria.

a = 3.7115 Å, b = 3.7115 Å, c = 3.7115 Å
α = 90.00°, β = 90.00°, γ = 90.00°
Atoms (fractional coordinates):
Nb 0.0000 0.0000 0.0000
Co 0.5000 0.5000 0.5000
B 0.0000 0.5000 0.5000
B 0.5000 0.0000 0.5000
B 0.5000 0.5000 0.0000

Space group: No. 221
Calculated total energy (eV per cell): -34.334



No. 3
First-principles (GGA-PBE) data for an optimized crystal structure of YGa2Hg2, as listed in Alexandria.

a = 7.8399 Å, b = 7.8399 Å, c = 3.6703 Å
α = 90.00°, β = 90.00°, γ = 90.00°
Atoms (fractional coordinates):
Y 0.0000 0.0000 0.0000
Y 0.5000 0.5000 0.0000
Ga 0.1237 0.3763 0.0000
Ga 0.3763 0.8763 0.0000
Ga 0.6237 0.1237 0.0000
Ga 0.8763 0.6237 0.0000
Hg 0.1755 0.6755 0.5000
Hg 0.3245 0.1755 0.5000
Hg 0.6755 0.8245 0.5000
Hg 0.8245 0.3245 0.5000

Space group: No. 127
Calculated total energy (eV per cell): -27.976



No. 4
First-principles (GGA-PBE) data for an optimized crystal structure of Be3Tc2B, as listed in Alexandria.

a = 4.3039 Å, b = 4.3039 Å, c = 4.3039 Å
α = 59.94°, β = 59.94°, γ = 59.94°
Atoms (fractional coordinates):
Be 0.0000 0.5000 0.5000
Be 0.5000 0.0000 0.5000
Be 0.5000 0.5000 0.0000
Tc 0.1256 0.1256 0.1256
Tc 0.8744 0.8744 0.8744
B 0.5000 0.5000 0.5000

Space group: No. 166
Calculated total energy (eV per cell): -40.388